Below is a relaxed structure of RbSr2WO5, with properties calculated at the PBE with a Hubbard U level.

Space group: Immm, No. 71
E_tot in eV/atom: -6.40
V in Å³ per atom: 16.4
Density in g/cm3: 5.89
Density of states at the Fermi level in states/eV per cell: 0.16

Cell lengths 6.8961, 6.8961, 6.8961 Å; angles 146.00, 125.30, 65.98 degrees
With the nearest neighbours (Å) after each atom.
Element x y z (fractional)
Rb 0.0000 0.0000 0.0000  10 O 3.09-3.17
Sr 0.2767 0.7767 0.5000  7 O 2.48-2.67
Sr 0.7233 0.2233 0.5000  7 O 2.48-2.67
W 0.5000 0.5000 0.0000  6 O 2.02-2.03
O 0.1550 0.3704 0.7846  1 W 2.03
O 0.4141 0.6296 0.7846  1 W 2.03
O 0.5000 0.0000 0.5000  2 W 2.02
O 0.5859 0.3704 0.2154  1 W 2.03
O 0.8450 0.6296 0.2154  1 W 2.03